Entry from Alexandria: a geometry-optimized ErCrO4 structure (PBE with a Hubbard U).

abc: 5.0255 5.0255 11.2628
angles: 90.00 90.00 90.00
Space group I4_1/a (No. 88, origin choice 2)
Asymmetric unit:
Er 0.0000 0.2500 0.1250 x4
Cr 0.0000 0.2500 0.6250 x4
O 0.1472 0.4899 0.2970 x16

Calculated values
total DFT energy (no corrections)	-183.13	eV per cell